Entry 1:
Here is crystalline Rb3NbO6 at its relaxed geometry from Alexandria. Energies are from PBE.

Cell lengths 6.8906, 6.8906, 10.8809 Å; angles 90.00, 90.00, 120.00 degrees
Fractional coordinates of all 20 atoms:
Rb  0.0000  0.0000  0.5000
Rb  0.0000  0.0000  0.0000
Rb  0.6667  0.3333  0.0800
Rb  0.3333  0.6667  0.5800
Rb  0.3333  0.6667  0.9200
Rb  0.6667  0.3333  0.4200
Nb  0.6667  0.3333  0.7500
Nb  0.3333  0.6667  0.2500
O  0.8025  0.6044  0.6438
O  0.3956  0.1981  0.6438
O  0.1975  0.3956  0.1438
O  0.1981  0.3956  0.3562
O  0.8019  0.1975  0.6438
O  0.6044  0.8019  0.1438
O  0.1975  0.8019  0.3562
O  0.8019  0.6044  0.8562
O  0.1981  0.8025  0.1438
O  0.8025  0.1981  0.8562
O  0.6044  0.8025  0.3562
O  0.3956  0.1975  0.8562

Results
The calculation puts the calculated density at 3.31 g/cm3. As for the symmetry: P6_3/mmc (194). The total energy comes out at -5.5938 eV/atom. For the energy relative to the elements, uncorrected, the calculation gives -1.322 eV/atom. For the total magnetic moment, the calculation gives 8.19 μB per cell.

=====

Entry 2:
Here is crystalline Rb2Nb4O7 at its relaxed geometry from Alexandria. Energies are from PBE.

Cell lengths 5.1857, 5.1857, 7.5788 Å; angles 90.00, 90.00, 120.00 degrees
Fractional coordinates of all 13 atoms:
Rb  0.6667  0.3333  0.0000
Rb  0.3333  0.6667  0.0000
Nb  0.0000  0.0000  0.7025
Nb  0.0000  0.0000  0.2975
Nb  0.6667  0.3333  0.5000
Nb  0.3333  0.6667  0.5000
O  0.0000  0.6186  0.7020
O  0.0000  0.3814  0.2980
O  0.0000  0.0000  0.0000
O  0.6186  0.0000  0.7020
O  0.3814  0.0000  0.2980
O  0.6186  0.6186  0.2980
O  0.3814  0.3814  0.7020

Results
The calculation puts the calculated density at 6.16 g/cm3. As for the symmetry: P-31m (162). The total energy comes out at -7.8244 eV/atom. For the energy relative to the elements, uncorrected, the calculation gives -1.907 eV/atom. For the total magnetic moment, the calculation gives 0.00 μB per cell. For the density of states at the Fermi level, the calculation gives 6.6 states/eV per cell.

=====

Entry 3:
Here is crystalline RbNb3O6 at its relaxed geometry from Alexandria. Energies are from PBE.

Cell lengths 5.6039, 5.6039, 5.8500 Å; angles 90.00, 118.62, 120.00 degrees
Fractional coordinates of all 10 atoms:
Rb  0.7907  0.8954  0.6861
Nb  0.6868  0.3434  0.0301
Nb  0.3203  0.6602  0.9805
Nb  0.3070  0.1535  0.4606
O  0.3583  0.4424  0.7362
O  0.1495  0.7676  0.2113
O  0.8295  0.0619  0.2113
O  0.2938  0.9159  0.7362
O  0.8203  0.3779  0.7362
O  0.4438  0.3819  0.2113

Results
The calculation puts the calculated density at 5.77 g/cm3. As for the symmetry: R3 (146). The total energy comes out at -8.1707 eV/atom. For the energy relative to the elements, uncorrected, the calculation gives -2.078 eV/atom. For the total magnetic moment, the calculation gives 1.67 μB per cell. For the density of states at the Fermi level, the calculation gives 4.5 states/eV per cell.